Record 1
DFT (PBE-GGA) results for a relaxed HfBiMoW2 crystal.

Cell: 4.970 4.970 4.938 Å, 90.00 90.00 90.00°
Sites, in units of the cell vectors:
Mo 0.000 0.000 0.500
Hf 0.500 0.500 0.500
W 0.500 0.000 0.000
Bi 0.000 0.000 0.000
W 0.000 0.500 0.000

Results
SG: P4/mmm (123)
Energy relative to the elements in eV/f.u.: 12.58
Mass density in Mg/m³: 11.59

Record 2
DFT (PBE-GGA) results for a relaxed Hf7Bi2N2 crystal.

Cell: 7.473 6.133 6.133 Å, 111.43 96.50 96.50°
Sites, in units of the cell vectors:
Hf 0.168 0.493 0.906
Hf 0.174 0.407 0.407
Bi 0.500 0.696 0.304
Hf 0.000 0.000 0.000
Hf 0.168 0.906 0.493
Bi 0.500 0.304 0.696
N 0.119 0.719 0.719
Hf 0.832 0.094 0.507
Hf 0.826 0.593 0.593
Hf 0.832 0.507 0.094
N 0.881 0.281 0.281

Results
SG: C2/m (12)
Formation energy (no corrections) in eV/atom: -0.4080
Mass density in Mg/m³: 10.98

Record 3
DFT (PBE-GGA) results for a relaxed Hf2BiN crystal.

Cell: 3.339 3.339 7.733 Å, 77.53 77.53 60.00°
Sites, in units of the cell vectors:
Hf 0.280 0.280 0.160
Hf 0.720 0.720 0.840
N 0.000 0.000 0.000
Bi 0.500 0.500 0.500

Results
SG: R-3m (166)
Energy relative to the lowest polymorph listed for this composition in meV/atom: 17
Formation energy (no corrections) in eV/atom: -0.7645
Mass density in Mg/m³: 13.32

Record 4
DFT (PBE-GGA) results for a relaxed HfBiN crystal.

Cell: 4.295 8.900 8.900 Å, 86.66 76.04 76.04°
Sites, in units of the cell vectors:
Bi 0.813 0.000 0.374
Bi 0.813 0.374 0.000
Hf 0.000 0.632 0.368
N 0.500 0.385 0.615
Bi 0.187 0.000 0.626
Hf 0.632 0.368 0.368
N 0.115 0.385 0.385
N 0.885 0.615 0.615
Hf 0.000 0.368 0.632
Hf 0.368 0.632 0.632
N 0.500 0.615 0.385
Bi 0.187 0.626 0.000

Results
SG: I4/mmm (139)
Formation energy (no corrections) in eV/atom: -0.8738
Mass density in Mg/m³: 8.32

Record 5
DFT (PBE-GGA) results for a relaxed Hf6Bi2N crystal.

Cell: 5.946 6.597 9.612 Å, 90.00 92.82 90.00°
Sites, in units of the cell vectors:
Bi 0.105 0.595 0.247
N 0.000 0.000 0.500
Bi 0.605 0.905 0.747
Hf 0.626 0.490 0.235
Hf 0.658 0.195 0.519
Hf 0.874 0.990 0.265
N 0.500 0.500 0.000
Hf 0.347 0.802 0.020
Bi 0.395 0.095 0.253
Hf 0.158 0.305 0.019
Hf 0.842 0.695 0.981
Hf 0.653 0.198 0.980
Hf 0.342 0.805 0.481
Hf 0.126 0.010 0.735
Hf 0.847 0.698 0.520
Hf 0.374 0.510 0.765
Hf 0.153 0.302 0.480
Bi 0.895 0.405 0.753

Results
SG: P2_1/c (14)
Formation energy (no corrections) in eV/atom: -0.3123
Mass density in Mg/m³: 13.26

Record 6
DFT (PBE-GGA) results for a relaxed HfBiN2 crystal.

Cell: 7.069 7.069 7.069 Å, 27.31 27.31 27.31°
Sites, in units of the cell vectors:
Hf 0.500 0.500 0.500
N 0.886 0.886 0.886
N 0.114 0.114 0.114
Bi 0.000 0.000 0.000

Results
SG: R-3m (166)
Formation energy (no corrections) in eV/atom: -0.6110
Mass density in Mg/m³: 10.51

Record 7
DFT (PBE-GGA) results for a relaxed Hf6BiN2 crystal.

Cell: 5.852 8.445 8.445 Å, 72.57 79.21 79.21°
Sites, in units of the cell vectors:
Hf 0.117 0.755 0.876
Bi 0.250 0.107 0.893
Hf 0.617 0.876 0.755
N 0.787 0.414 0.272
N 0.713 0.728 0.586
Bi 0.750 0.893 0.107
Hf 0.608 0.273 0.485
Hf 0.389 0.410 0.915
N 0.213 0.586 0.728
N 0.287 0.272 0.414
Hf 0.383 0.124 0.245
Hf 0.892 0.515 0.727
Hf 0.611 0.590 0.085
Hf 0.111 0.085 0.590
Hf 0.883 0.245 0.124
Hf 0.108 0.485 0.273
Hf 0.392 0.727 0.515
Hf 0.889 0.915 0.410

Results
SG: C2/c (15)
Formation energy (no corrections) in eV/atom: -0.4624
Mass density in Mg/m³: 11.22

Record 8
DFT (PBE-GGA) results for a relaxed Hf8BiN2 crystal.

Cell: 5.927 7.053 7.053 Å, 54.89 83.05 83.05°
Sites, in units of the cell vectors:
Hf 0.689 0.636 0.170
Hf 0.693 0.194 0.194
N 0.347 0.185 0.185
Hf 0.311 0.830 0.364
N 0.653 0.815 0.815
Bi 0.000 0.000 0.000
Hf 0.311 0.364 0.830
Hf 0.307 0.806 0.806
Hf 0.689 0.170 0.636
Hf 0.223 0.348 0.348
Hf 0.777 0.652 0.652

Results
SG: C2/m (12)
Formation energy (no corrections) in eV/atom: -0.2913
Mass density in Mg/m³: 11.57

Record 9
DFT (PBE-GGA) results for a relaxed Hf6BiN crystal.

Cell: 5.598 5.598 5.598 Å, 101.22 101.22 101.22°
Sites, in units of the cell vectors:
Bi 0.000 0.000 0.000
Hf 0.605 0.223 0.224
Hf 0.395 0.777 0.776
Hf 0.776 0.776 0.395
Hf 0.223 0.605 0.224
Hf 0.777 0.395 0.776
N 0.500 0.500 0.500
Hf 0.224 0.224 0.605

Results
SG: R-3m (166)
Formation energy (no corrections) in eV/atom: -0.4161
Mass density in Mg/m³: 13.12

Record 10
DFT (PBE-GGA) results for a relaxed Hf2BiN crystal.

Cell: 3.473 3.473 7.126 Å, 75.89 75.89 60.00°
Sites, in units of the cell vectors:
Bi 0.500 0.500 0.501
N 0.668 0.668 0.996
Hf 0.279 0.279 0.164
Hf 0.054 0.054 0.839

Results
SG: R3m (160)
Energy relative to the lowest polymorph listed for this composition in meV/atom: 0
Formation energy (no corrections) in eV/atom: -0.7819
Mass density in Mg/m³: 13.48

Record 11
DFT (PBE-GGA) results for a relaxed Hf2BiN crystal.

Cell: 5.823 5.823 6.760 Å, 64.49 64.49 90.00°
Sites, in units of the cell vectors:
N 0.500 0.500 0.000
Bi 0.000 0.000 0.000
Hf 0.375 0.499 0.750
N 0.250 0.750 0.500
Hf 0.875 0.751 0.750
Bi 0.750 0.250 0.500
Hf 0.249 0.625 0.250
Hf 0.501 0.125 0.250

Results
SG: I-42d (122)
Energy relative to the lowest polymorph listed for this composition in meV/atom: 263
Formation energy (no corrections) in eV/atom: -0.5192
Mass density in Mg/m³: 10.60

Record 12
DFT (PBE-GGA) results for a relaxed Hf5BiN crystal.

Cell: 6.455 6.455 8.084 Å, 76.74 76.74 75.58°
Sites, in units of the cell vectors:
Hf 0.662 0.146 0.947
Hf 0.319 0.090 0.366
N 0.000 0.000 0.000
Bi 0.447 0.553 0.750
Hf 0.090 0.319 0.866
N 0.000 0.000 0.500
Hf 0.146 0.662 0.447
Hf 0.910 0.681 0.134
Hf 0.914 0.086 0.250
Hf 0.086 0.914 0.750
Bi 0.553 0.447 0.250
Hf 0.854 0.338 0.553
Hf 0.338 0.854 0.053
Hf 0.681 0.910 0.634

Results
SG: C2/c (15)
Formation energy (no corrections) in eV/atom: -0.2499
Mass density in Mg/m³: 11.86

Record 13
DFT (PBE-GGA) results for a relaxed HfBiN3 crystal.

Cell: 4.149 4.149 4.149 Å, 90.00 90.00 90.00°
Sites, in units of the cell vectors:
N 0.500 0.000 0.000
Bi 0.000 0.000 0.000
N 0.000 0.500 0.000
N 0.000 0.000 0.500
Hf 0.500 0.500 0.500

Results
SG: Pm-3m (221)
Formation energy (no corrections) in eV/atom: 1.3639
Mass density in Mg/m³: 9.99

Record 14
DFT (PBE-GGA) results for a relaxed HfBiN3 crystal.

Cell: 4.184 4.184 4.184 Å, 90.00 90.00 90.00°
Sites, in units of the cell vectors:
N 0.500 0.000 0.000
N 0.000 0.000 0.500
Hf 0.000 0.000 0.000
N 0.000 0.500 0.000
Bi 0.500 0.500 0.500

Results
SG: Pm-3m (221)
Formation energy (no corrections) in eV/atom: 0.3290
Mass density in Mg/m³: 9.74

Record 15
DFT (PBE-GGA) results for a relaxed Hf4BiN2 crystal.

Cell: 5.273 5.273 6.663 Å, 66.69 66.69 90.00°
Sites, in units of the cell vectors:
Hf 0.500 0.000 0.000
Bi 0.000 0.000 0.000
Hf 0.000 0.500 0.000
Hf 0.266 0.266 0.469
N 0.441 0.441 0.119
N 0.559 0.559 0.881
Hf 0.734 0.734 0.531

Results
SG: I4/mmm (139)
Energy relative to the lowest polymorph listed for this composition in meV/atom: 1114
Formation energy (no corrections) in eV/atom: 0.4903
Mass density in Mg/m³: 10.28

Record 16
DFT (PBE-GGA) results for a relaxed Hf2BiN crystal.

Cell: 4.725 4.725 4.725 Å, 60.00 60.00 60.00°
Sites, in units of the cell vectors:
Bi 0.500 0.500 0.500
N 0.000 0.000 0.000
Hf 0.750 0.750 0.750
Hf 0.250 0.250 0.250

Results
SG: Fm-3m (225)
Energy relative to the lowest polymorph listed for this composition in meV/atom: 1316
Formation energy (no corrections) in eV/atom: 0.5340
Mass density in Mg/m³: 12.91

Record 17
DFT (PBE-GGA) results for a relaxed Hf8Bi2N crystal.

Cell: 7.385 6.514 6.514 Å, 57.32 84.21 84.21°
Sites, in units of the cell vectors:
Hf 0.812 0.670 0.670
Hf 0.115 0.809 0.809
N 0.000 0.000 0.000
Hf 0.822 0.683 0.199
Bi 0.478 0.860 0.860
Hf 0.188 0.330 0.330
Hf 0.178 0.801 0.317
Bi 0.522 0.140 0.140
Hf 0.885 0.191 0.191
Hf 0.178 0.317 0.801
Hf 0.822 0.199 0.683

Results
SG: C2/m (12)
Formation energy (no corrections) in eV/atom: -0.0992
Mass density in Mg/m³: 11.79

Record 18
DFT (PBE-GGA) results for a relaxed Hf4Bi2N crystal.

Cell: 4.477 4.477 8.187 Å, 74.13 74.13 90.00°
Sites, in units of the cell vectors:
Hf 0.000 0.500 0.000
Hf 0.858 0.858 0.285
Bi 0.348 0.348 0.304
N 0.000 0.000 0.000
Hf 0.142 0.142 0.715
Bi 0.652 0.652 0.696
Hf 0.500 0.000 0.000

Results
SG: I4/mmm (139)
Formation energy (no corrections) in eV/atom: -0.4234
Mass density in Mg/m³: 12.57

Record 19
DFT (PBE-GGA) results for a relaxed HfBi2N4 crystal.

Cell: 4.245 4.245 6.848 Å, 71.95 71.95 90.00°
Sites, in units of the cell vectors:
N 0.176 0.176 0.648
Bi 0.356 0.356 0.288
Bi 0.644 0.644 0.712
N 0.824 0.824 0.352
N 0.000 0.500 0.000
N 0.500 0.000 0.000
Hf 0.000 0.000 0.000

Results
SG: I4/mmm (139)
Formation energy (no corrections) in eV/atom: 0.4292
Mass density in Mg/m³: 9.77

Record 20
DFT (PBE-GGA) results for a relaxed Hf4BiN2 crystal.

Cell: 6.903 6.903 7.162 Å, 105.94 107.03 114.28°
Sites, in units of the cell vectors:
Bi 0.992 0.992 0.000
Hf 0.796 0.512 0.069
Hf 0.423 0.108 0.340
Hf 0.476 0.557 0.272
Hf 0.285 0.204 0.728
Hf 0.896 0.579 0.665
Hf 0.768 0.082 0.660
N 0.684 0.390 0.300
Hf 0.914 0.231 0.335
Bi 0.249 0.749 0.500
N 0.609 0.916 0.291
Hf 0.444 0.728 0.931
N 0.090 0.384 0.700
N 0.625 0.318 0.709

Results
SG: C2 (5)
Energy relative to the lowest polymorph listed for this composition in meV/atom: 0
Formation energy (no corrections) in eV/atom: -0.6239
Mass density in Mg/m³: 11.91

Record 21
DFT (PBE-GGA) results for a relaxed HfBiN2 crystal.

Cell: 5.466 5.466 6.224 Å, 63.95 63.95 90.00°
Sites, in units of the cell vectors:
Bi 0.750 0.250 0.500
Hf 0.250 0.750 0.500
Bi 0.000 0.000 0.000
Hf 0.500 0.500 0.000
N 0.375 0.451 0.750
N 0.549 0.125 0.250
N 0.875 0.799 0.750
N 0.201 0.625 0.250

Results
SG: I-42d (122)
Formation energy (no corrections) in eV/atom: -0.4285
Mass density in Mg/m³: 9.47

Record 22
DFT (PBE-GGA) results for a relaxed Hf4NbBiN crystal.

Cell: 6.247 6.210 8.067 Å, 90.00 112.78 90.00°
Sites, in units of the cell vectors:
Bi 0.600 0.750 0.200
Hf 0.500 0.500 0.500
Hf 0.000 0.500 0.500
Hf 0.000 0.000 0.500
Nb 0.110 0.250 0.219
Hf 0.601 0.250 0.201
Hf 0.905 0.250 0.811
N 0.754 0.250 0.508
Hf 0.095 0.750 0.189
Hf 0.399 0.750 0.799
Bi 0.400 0.250 0.800
Nb 0.890 0.750 0.781
Hf 0.500 0.000 0.500
N 0.246 0.750 0.492

Results
SG: Cmcm (63)
Formation energy (no corrections) in eV/atom: -0.3037
Mass density in Mg/m³: 11.85

Record 23
DFT (PBE-GGA) results for a relaxed Nd2HfBi2N2 crystal.

Cell: 4.273 4.273 9.045 Å, 103.66 103.66 90.00°
Sites, in units of the cell vectors:
Bi 0.191 0.191 0.382
Nd 0.404 0.404 0.808
N 0.000 0.500 0.000
Nd 0.596 0.596 0.192
Bi 0.809 0.809 0.618
Hf 0.000 0.000 0.000
N 0.500 0.000 0.000

Results
SG: I4/mmm (139)
Formation energy (no corrections) in eV/atom: -1.0539
Mass density in Mg/m³: 9.74

Record 24
DFT (PBE-GGA) results for a relaxed HfBiN2O crystal.

Cell: 4.243 4.243 4.141 Å, 90.00 90.00 90.00°
Sites, in units of the cell vectors:
O 0.000 0.000 0.500
N 0.000 0.500 0.000
Bi 0.000 0.000 0.000
N 0.500 0.000 0.000
Hf 0.500 0.500 0.500

Results
SG: P4/mmm (123)
Formation energy (no corrections) in eV/atom: 0.7192
Mass density in Mg/m³: 9.61